Version 1
Below is YCrBr2 after structural relaxation, with properties calculated at the PBE level. Values from VASP.

Cell and atoms, written as Quantum ESPRESSO input:
```
&SYSTEM
  ibrav = 0, nat = 8, ntyp = 3
/
ATOMIC_SPECIES
Y 88.91 Y.upf
Cr 52.00 Cr.upf
Br 79.90 Br.upf
CELL_PARAMETERS angstrom
3.604 0.000 0.000
0.000 6.592 0.000
0.000 0.000 8.982
ATOMIC_POSITIONS crystal
Y 0.000 0.000 0.000
Y 0.500 0.500 0.000
Cr 0.000 0.000 0.500
Cr 0.500 0.500 0.500
Br 0.000 0.500 0.273
Br 0.000 0.500 0.727
Br 0.500 0.000 0.273
Br 0.500 0.000 0.727
```

* symmetry: Cmmm

Version 2
Below is YCrBr2 after structural relaxation, with properties calculated at the PBE level. Values from VASP.

Cell and atoms, written as Quantum ESPRESSO input:
```
&SYSTEM
  ibrav = 0, nat = 4, ntyp = 3
/
ATOMIC_SPECIES
Y 88.91 Y.upf
Cr 52.00 Cr.upf
Br 79.90 Br.upf
CELL_PARAMETERS angstrom
3.657 0.000 0.000
0.000 3.657 0.000
0.000 0.000 7.115
ATOMIC_POSITIONS crystal
Y 0.000 0.000 0.000
Cr 0.000 0.000 0.500
Br 0.500 0.500 0.229
Br 0.500 0.500 0.771
```

* symmetry: P4/mmm

Relative to the most stable structure, the computed energies are version 1 0.045; version 2 0.000, all in eV/atom.

Version 1
Below is ScOs2Cl after structural relaxation, with properties calculated at the PBE level. Values from VASP.

Cell and atoms, written as Quantum ESPRESSO input:
```
&SYSTEM
  ibrav = 0, nat = 8, ntyp = 3
/
ATOMIC_SPECIES
Sc 44.96 Sc.upf
Os 190.23 Os.upf
Cl 35.45 Cl.upf
CELL_PARAMETERS angstrom
4.917 0.000 0.000
0.000 4.917 0.000
0.000 0.000 5.370
ATOMIC_POSITIONS crystal
Sc 0.000 0.000 0.000
Sc 0.500 0.500 0.500
Os 0.000 0.000 0.500
Os 0.000 0.500 0.250
Os 0.500 0.000 0.750
Os 0.500 0.500 0.000
Cl 0.000 0.500 0.750
Cl 0.500 0.000 0.250
```

* symmetry: I-4m2

Version 2
Below is ScOs2Cl after structural relaxation, with properties calculated at the PBE level. Values from VASP.

Cell and atoms, written as Quantum ESPRESSO input:
```
&SYSTEM
  ibrav = 0, nat = 8, ntyp = 3
/
ATOMIC_SPECIES
Sc 44.96 Sc.upf
Os 190.23 Os.upf
Cl 35.45 Cl.upf
CELL_PARAMETERS angstrom
7.973 0.000 0.000
0.000 3.066 0.000
-0.303 0.000 6.971
ATOMIC_POSITIONS crystal
Sc 0.000 0.000 0.000
Sc 0.500 0.500 0.000
Os 0.211 0.500 0.233
Os 0.441 0.000 0.359
Os 0.711 0.000 0.233
Os 0.941 0.500 0.359
Cl 0.421 0.000 0.720
Cl 0.921 0.500 0.720
```

* symmetry: Cm

Relative to the most stable structure, the computed energies are version 1 0.642; version 2 0.000, all in eV/atom.

Version 1
Below is Ag2WAu after structural relaxation, with properties calculated at the PBE level. Values from VASP.

Cell and atoms, written as Quantum ESPRESSO input:
```
&SYSTEM
  ibrav = 0, nat = 4, ntyp = 3
/
ATOMIC_SPECIES
Ag 107.87 Ag.upf
W 183.84 W.upf
Au 196.97 Au.upf
CELL_PARAMETERS angstrom
2.758 0.000 0.000
0.000 4.995 0.000
0.000 0.000 5.096
ATOMIC_POSITIONS crystal
Ag 0.000 0.000 0.000
Ag 0.500 0.500 0.000
W 0.000 0.500 0.500
Au 0.500 0.000 0.500
```

* symmetry: Pmmm

Version 2
Below is Ag2WAu after structural relaxation, with properties calculated at the PBE level. Values from VASP.

Cell and atoms, written as Quantum ESPRESSO input:
```
&SYSTEM
  ibrav = 0, nat = 12, ntyp = 3
/
ATOMIC_SPECIES
Ag 107.87 Ag.upf
W 183.84 W.upf
Au 196.97 Au.upf
CELL_PARAMETERS angstrom
2.859 0.000 0.000
-1.429 2.476 0.000
0.000 0.000 29.313
ATOMIC_POSITIONS crystal
Ag 0.000 0.000 0.249
Ag 0.000 0.000 0.751
Ag 0.333 0.667 0.418
Ag 0.333 0.667 0.915
Ag 0.667 0.333 0.085
Ag 0.667 0.333 0.582
W 0.000 0.000 0.500
W 0.333 0.667 0.167
W 0.667 0.333 0.833
Au 0.000 0.000 0.000
Au 0.333 0.667 0.667
Au 0.667 0.333 0.333
```

* symmetry: R-3m

Relative to the most stable structure, the computed energies are version 1 0.142; version 2 0.000, all in eV/atom.

Version 1
Below is NiMo2Rh after structural relaxation, with properties calculated at the PBE level. Values from VASP.

Cell and atoms, written as Quantum ESPRESSO input:
```
&SYSTEM
  ibrav = 0, nat = 4, ntyp = 3
/
ATOMIC_SPECIES
Ni 58.69 Ni.upf
Mo 95.94 Mo.upf
Rh 102.91 Rh.upf
CELL_PARAMETERS angstrom
2.709 0.000 0.000
0.000 3.895 0.000
-0.013 0.000 5.359
ATOMIC_POSITIONS crystal
Ni 0.000 0.000 0.000
Mo 0.498 0.500 0.244
Mo 0.502 0.500 0.756
Rh 0.000 0.000 0.500
```

* symmetry: P2/m

Version 2
Below is NiMo2Rh after structural relaxation, with properties calculated at the PBE level. Values from VASP.

Cell and atoms, written as Quantum ESPRESSO input:
```
&SYSTEM
  ibrav = 0, nat = 4, ntyp = 3
/
ATOMIC_SPECIES
Ni 58.69 Ni.upf
Mo 95.94 Mo.upf
Rh 102.91 Rh.upf
CELL_PARAMETERS angstrom
2.704 0.000 0.000
0.000 2.704 0.000
0.000 0.000 7.818
ATOMIC_POSITIONS crystal
Ni 0.000 0.000 0.000
Mo 0.000 0.000 0.483
Mo 0.500 0.500 0.772
Rh 0.500 0.500 0.239
```

* symmetry: P4mm

Relative to the most stable structure, the computed energies are version 1 0.000; version 2 0.076, all in eV/atom.

Version 1
Below is MgBeSi2 after structural relaxation, with properties calculated at the PBE level. Values from VASP.

Cell and atoms, written as Quantum ESPRESSO input:
```
&SYSTEM
  ibrav = 0, nat = 8, ntyp = 3
/
ATOMIC_SPECIES
Mg 24.30 Mg.upf
Be 9.01 Be.upf
Si 28.09 Si.upf
CELL_PARAMETERS angstrom
3.415 0.000 0.000
0.000 3.508 0.000
0.000 0.000 10.853
ATOMIC_POSITIONS crystal
Mg 0.000 0.000 0.000
Mg 0.500 0.500 0.500
Be 0.000 0.500 0.225
Be 0.500 0.000 0.725
Si 0.000 0.000 0.363
Si 0.000 0.500 0.706
Si 0.500 0.000 0.206
Si 0.500 0.500 0.863
```

* symmetry: Imm2

Version 2
Below is MgBeSi2 after structural relaxation, with properties calculated at the PBE level. Values from VASP.

Cell and atoms, written as Quantum ESPRESSO input:
```
&SYSTEM
  ibrav = 0, nat = 12, ntyp = 3
/
ATOMIC_SPECIES
Mg 24.30 Mg.upf
Be 9.01 Be.upf
Si 28.09 Si.upf
CELL_PARAMETERS angstrom
3.087 0.000 0.000
-1.543 2.673 0.000
0.000 0.000 22.299
ATOMIC_POSITIONS crystal
Mg 0.000 0.000 0.000
Mg 0.333 0.667 0.667
Mg 0.667 0.333 0.333
Be 0.000 0.000 0.500
Be 0.333 0.667 0.167
Be 0.667 0.333 0.833
Si 0.000 0.000 0.235
Si 0.000 0.000 0.765
Si 0.333 0.667 0.431
Si 0.333 0.667 0.902
Si 0.667 0.333 0.098
Si 0.667 0.333 0.569
```

* symmetry: R-3m

Relative to the most stable structure, the computed energies are version 1 0.000; version 2 0.082, all in eV/atom.

Version 1
Below is V3AsC after structural relaxation, with properties calculated at the PBE level. Values from VASP.

Cell and atoms, written as Quantum ESPRESSO input:
```
&SYSTEM
  ibrav = 0, nat = 5, ntyp = 3
/
ATOMIC_SPECIES
V 50.94 V.upf
As 74.92 As.upf
C 12.01 C.upf
CELL_PARAMETERS angstrom
3.974 0.000 0.000
0.000 3.974 0.000
0.000 0.000 3.974
ATOMIC_POSITIONS crystal
V 0.000 0.000 0.500
V 0.000 0.500 0.000
V 0.500 0.000 0.000
As 0.500 0.500 0.500
C 0.000 0.000 0.000
```

* symmetry: Pm-3m

Version 2
Below is V3AsC after structural relaxation, with properties calculated at the PBE level. Values from VASP.

Cell and atoms, written as Quantum ESPRESSO input:
```
&SYSTEM
  ibrav = 0, nat = 10, ntyp = 3
/
ATOMIC_SPECIES
V 50.94 V.upf
As 74.92 As.upf
C 12.01 C.upf
CELL_PARAMETERS angstrom
1.550 -5.135 0.000
1.550 5.135 0.000
0.000 0.000 7.689
ATOMIC_POSITIONS crystal
V 0.046 0.954 0.750
V 0.374 0.626 0.550
V 0.374 0.626 0.950
V 0.626 0.374 0.050
V 0.626 0.374 0.450
V 0.954 0.046 0.250
As 0.259 0.741 0.250
As 0.741 0.259 0.750
C 0.000 0.000 0.000
C 0.000 0.000 0.500
```

* symmetry: Cmcm

Relative to the most stable structure, the computed energies are version 1 0.311; version 2 0.000, all in eV/atom.